The following is a PBE calculation of Tb4Nd5Hg4 after structural relaxation, from the Alexandria database.

a b c (Å): 5.2097 9.0782 9.0781
angles (deg): 85.28 73.33 73.33
Fractional coordinates of all 13 atoms:
Tb 0.9029 0.4929 0.7013
Tb 0.6042 0.2987 0.4929
Tb 0.0971 0.5071 0.2987
Tb 0.3958 0.7013 0.5071
Nd 0.6857 0.9337 0.6949
Nd 0.3143 0.0663 0.3051
Nd 0.0000 0.0000 0.0000
Nd 0.6194 0.6949 0.0663
Nd 0.3806 0.3051 0.9337
Hg 0.7585 0.3346 0.1483
Hg 0.2415 0.6654 0.8517
Hg 0.9069 0.8517 0.3346
Hg 0.0931 0.1483 0.6654

Output
- Formation energy from the elements: -311 meV per atom
- Total magnetization: 0.000 μB/atom
- Raw total energy: -3.662 eV/atom
- DOS(E_F): 0.817 states/eV per atom